1.
! GGA-PBE Ce2NpTl2S6, relaxed; values from VASP
! Final energy in eV/atom: -6.33
! Symmetry: C2/m
! Crystal system: monoclinic
! ΔE_f (raw) in eV per atom: -1.39
&SYSTEM
  ibrav = 0, nat = 11, ntyp = 4
/
ATOMIC_SPECIES
Tl 204.38 Tl.upf
Ce 140.12 Ce.upf
S 32.06 S.upf
Np 237.00 Np.upf
CELL_PARAMETERS angstrom
-3.307 6.020 -1.901
-1.431 -6.071 -3.448
-3.907 -1.457 6.653
ATOMIC_POSITIONS crystal
Tl 0.832 0.168 0.000
Tl 0.168 0.832 0.000
Ce 0.666 0.334 0.500
Ce 0.334 0.666 0.500
S 0.742 0.742 0.695
S 0.392 0.062 0.693
S 0.062 0.392 0.693
S 0.608 0.938 0.307
S 0.938 0.608 0.307
S 0.258 0.258 0.305
Np 0.000 0.000 0.500

=====

2.
! GGA-PBE CeNp2Tl2S6, relaxed; values from VASP
! Final energy in eV/atom: -6.83
! Symmetry: C2/m
! Crystal system: monoclinic
! ΔE_f (raw) in eV per atom: -1.26
&SYSTEM
  ibrav = 0, nat = 11, ntyp = 4
/
ATOMIC_SPECIES
Tl 204.38 Tl.upf
S 32.06 S.upf
Ce 140.12 Ce.upf
Np 237.00 Np.upf
CELL_PARAMETERS angstrom
-6.556 -1.979 -1.709
5.284 -0.866 -4.599
1.752 -5.897 4.906
ATOMIC_POSITIONS crystal
Tl 0.167 0.833 0.000
Tl 0.833 0.167 0.000
S 0.724 0.724 0.693
S 0.060 0.405 0.692
S 0.595 0.940 0.308
S 0.940 0.595 0.308
S 0.276 0.276 0.307
S 0.405 0.060 0.692
Ce 0.000 0.000 0.500
Np 0.666 0.334 0.500
Np 0.334 0.666 0.500

=====

3.
! GGA-PBE CeNp3Tl3S8, relaxed; values from VASP
! Final energy in eV/atom: -6.86
! Symmetry: R-3m
! Crystal system: trigonal
! ΔE_f (raw) in eV per atom: -1.20
&SYSTEM
  ibrav = 0, nat = 15, ntyp = 4
/
ATOMIC_SPECIES
Tl 204.38 Tl.upf
Np 237.00 Np.upf
S 32.06 S.upf
Ce 140.12 Ce.upf
CELL_PARAMETERS angstrom
8.133 0.000 0.004
-4.066 7.043 -0.027
0.000 -4.666 7.510
ATOMIC_POSITIONS crystal
Tl 0.000 0.000 0.000
Tl 0.500 0.500 0.000
Tl 0.000 0.500 0.000
Np 0.500 0.500 0.500
Np 0.000 0.500 0.500
Np 0.500 0.000 0.500
S 0.275 0.040 0.306
S 0.234 0.959 0.694
S 0.270 0.539 0.309
S 0.234 0.468 0.694
S 0.730 0.461 0.691
S 0.766 0.041 0.306
S 0.766 0.532 0.306
S 0.725 0.960 0.694
Ce 0.000 0.000 0.500

=====

4.
! GGA-PBE Ce2TmNpS5, relaxed; values from VASP
! Final energy in eV/atom: -6.87
! Symmetry: P4/mmm
! Crystal system: tetragonal
! ΔE_f (raw) in eV per atom: -1.33
&SYSTEM
  ibrav = 0, nat = 9, ntyp = 4
/
ATOMIC_SPECIES
Ce 140.12 Ce.upf
S 32.06 S.upf
Np 237.00 Np.upf
Tm 168.93 Tm.upf
CELL_PARAMETERS angstrom
4.833 0.000 0.000
0.000 4.833 0.000
0.000 0.000 10.429
ATOMIC_POSITIONS crystal
Ce 0.500 0.500 0.702
Ce 0.500 0.500 0.298
S 0.500 0.500 0.000
S 0.000 0.000 0.751
S 0.500 0.000 0.500
S 0.000 0.000 0.249
S 0.000 0.500 0.500
Np 0.000 0.000 0.000
Tm 0.000 0.000 0.500

=====

5.
! GGA-PBE CeNpU2S4, relaxed; values from VASP
! Final energy in eV/atom: -8.75
! Symmetry: P2/m
! Crystal system: monoclinic
! ΔE_f (raw) in eV per atom: -1.51
&SYSTEM
  ibrav = 0, nat = 8, ntyp = 4
/
ATOMIC_SPECIES
Np 237.00 Np.upf
Ce 140.12 Ce.upf
S 32.06 S.upf
U 238.03 U.upf
CELL_PARAMETERS angstrom
-3.445 0.722 -1.617
-2.277 -6.026 2.158
-1.256 4.710 4.780
ATOMIC_POSITIONS crystal
Np 0.000 0.000 0.000
Ce 0.500 0.500 0.000
S 0.500 0.247 0.252
S 0.500 0.753 0.748
S 0.000 0.245 0.744
S 0.000 0.755 0.256
U 0.500 0.000 0.500
U 0.000 0.500 0.500

=====

6.
! GGA-PBE Ce6NpSb10, relaxed; values from VASP
! Final energy in eV/atom: -6.08
! Symmetry: P-31m
! Crystal system: trigonal
! ΔE_f (raw) in eV per atom: -0.80
&SYSTEM
  ibrav = 0, nat = 17, ntyp = 3
/
ATOMIC_SPECIES
Sb 121.76 Sb.upf
Ce 140.12 Ce.upf
Np 237.00 Np.upf
CELL_PARAMETERS angstrom
6.245 0.000 0.000
0.000 8.181 -4.723
0.000 0.000 9.446
ATOMIC_POSITIONS crystal
Sb 0.760 0.269 0.000
Sb 0.000 0.333 0.667
Sb 0.500 0.667 0.333
Sb 0.500 0.333 0.667
Sb 0.240 0.731 0.000
Sb 0.760 0.731 0.731
Sb 0.240 0.000 0.731
Sb 0.760 0.000 0.269
Sb 0.000 0.667 0.333
Sb 0.240 0.269 0.269
Ce 0.750 0.617 0.000
Ce 0.750 0.383 0.383
Ce 0.750 0.000 0.617
Ce 0.250 0.617 0.617
Ce 0.250 0.000 0.383
Ce 0.250 0.383 0.000
Np 0.500 0.000 0.000

=====

7.
! GGA-PBE Ce2NpSb5, relaxed; values from VASP
! Final energy in eV/atom: -6.20
! Symmetry: Pbam
! Crystal system: orthorhombic
! ΔE_f (raw) in eV per atom: -0.52
&SYSTEM
  ibrav = 0, nat = 16, ntyp = 3
/
ATOMIC_SPECIES
Sb 121.76 Sb.upf
Ce 140.12 Ce.upf
Np 237.00 Np.upf
CELL_PARAMETERS angstrom
5.673 0.000 0.000
0.000 6.449 0.000
0.000 0.000 12.052
ATOMIC_POSITIONS crystal
Sb 0.000 0.664 0.755
Sb 0.000 0.000 0.500
Sb 0.500 0.363 0.598
Sb 0.000 0.164 0.745
Sb 0.000 0.500 0.000
Sb 0.500 0.137 0.098
Sb 0.500 0.863 0.902
Sb 0.500 0.637 0.402
Sb 0.000 0.836 0.255
Sb 0.000 0.336 0.245
Ce 0.500 0.373 0.858
Ce 0.500 0.127 0.358
Ce 0.500 0.627 0.142
Ce 0.500 0.873 0.642
Np 0.000 0.000 0.000
Np 0.000 0.500 0.500

=====

8.
! GGA-PBE Ce4NpSb6, relaxed; values from VASP
! Final energy in eV/atom: -6.33
! Symmetry: R-3c
! Crystal system: trigonal
! ΔE_f (raw) in eV per atom: -0.75
&SYSTEM
  ibrav = 0, nat = 22, ntyp = 3
/
ATOMIC_SPECIES
Sb 121.76 Sb.upf
Ce 140.12 Ce.upf
Np 237.00 Np.upf
CELL_PARAMETERS angstrom
-1.995 -7.468 -4.068
8.365 -2.514 0.064
-1.374 -3.647 7.818
ATOMIC_POSITIONS crystal
Sb 0.433 0.828 0.422
Sb 0.828 0.578 0.567
Sb 0.078 0.328 0.067
Sb 0.067 0.922 0.328
Sb 0.933 0.078 0.672
Sb 0.578 0.433 0.172
Sb 0.922 0.672 0.933
Sb 0.422 0.567 0.828
Sb 0.567 0.172 0.578
Sb 0.172 0.422 0.433
Sb 0.672 0.067 0.078
Sb 0.328 0.933 0.922
Ce 0.250 0.250 0.750
Ce 0.860 0.250 0.360
Ce 0.750 0.360 0.860
Ce 0.750 0.750 0.250
Ce 0.360 0.140 0.250
Ce 0.250 0.640 0.140
Ce 0.140 0.750 0.640
Ce 0.640 0.860 0.750
Np 0.500 0.500 0.500
Np 0.000 0.000 0.000